No. 1
PrAl4Ga2Pd (PBE-GGA, relaxed); E = -4.451 eV per atom; space-group type = P4/mmm (123); spin magnetization = 0.01 μB per formula unit
1.0
4.293 0.000 0.000
0.000 4.293 0.000
0.000 0.000 8.233
Pr Al Ga Pd
1 4 2 1
direct
0.000 0.000 0.000 Pr
0.000 0.500 0.330 Al
0.000 0.500 0.670 Al
0.500 0.000 0.330 Al
0.500 0.000 0.670 Al
0.500 0.500 0.148 Ga
0.500 0.500 0.852 Ga
0.000 0.000 0.500 Pd


No. 2
NbCuReAs (PBE-GGA, relaxed); E = -7.480 eV per atom; space-group type = F-43m (216); spin magnetization = 0.01 μB per formula unit
1.0
0.000 3.127 3.127
3.127 0.000 3.127
3.127 3.127 0.000
Nb Cu Re As
1 1 1 1
direct
0.000 0.000 0.000 Nb
0.750 0.750 0.750 Cu
0.250 0.250 0.250 Re
0.500 0.500 0.500 As


Look up the E of the first one.
-4.451 eV per atom


Which value of E does entry 2 give?
-7.480 eV per atom


Number 1 is which compound?
PrAl4Ga2Pd